# 1
This record from Alexandria describes a relaxed ZnIn3Ag12 crystal. The functional is PBE-GGA.

Output
* DFT formation energy: -0.28 eV/f.u.
* calculated density: 9.6 g cm⁻³
* spin magnetization: 0.0 μB per formula unit

a b c (Å): 4.185 4.185 16.857
angles (deg): 90.00 90.00 90.00
Space group P4/mmm (No. 123)
Asymmetric unit:
Zn  0.000  0.000  0.000 x1
In  0.000  0.000  0.245 x2
In  0.000  0.000  0.500 x1
Ag  0.000  0.500  0.117 x4
Ag  0.000  0.500  0.372 x4
Ag  0.500  0.500  0.000 x1
Ag  0.500  0.500  0.245 x2
Ag  0.500  0.500  0.500 x1

# 2
This record from Alexandria describes a relaxed Li2SmTlBr6 crystal. The functional is PBE-GGA.

Output
* energy relative to the elements, uncorrected: -1.51 eV per atom
* calculated density: 4.5 g cm⁻³
* spin magnetization: 0.0 μB per formula unit

a b c (Å): 7.3473 7.3473 19.9979
angles (deg): 90.00 90.00 120.00
Space group R3 (No. 146, hexagonal axes)
Asymmetric unit:
Li  0.0000  0.0000  0.0000 x3
Li  0.0000  0.0000  0.4932 x3
Sm  0.0000  0.0000  0.6887 x3
Tl  0.0000  0.0000  0.2089 x3
Br  0.0074  0.5842  0.2594 x9
Br  0.0172  0.3362  0.0874 x9